6
Lattice="-2.220 0.787 2.988 -3.065 -1.027 -2.007 3.793 -10.396 3.133" Properties=species:S:1:pos:R:3 comment="YBiIr, relaxed, DFT PBE" total_energy_ev_per_atom=-6.70 e_form_mev_per_atom=-302 n_ef_per_ev_cell=3.321 pbc="T T T"
Ir 0.674 -6.165 2.124
Ir -2.167 -4.471 1.990
Y 0.381 -3.479 1.199
Y -1.873 -7.157 2.916
Bi -2.464 -1.756 1.054
Bi 0.971 -8.881 3.060

---

5
Lattice="4.634 0.000 0.000 0.000 4.634 0.000 0.000 0.000 4.634" Properties=species:S:1:pos:R:3 comment="CrCu3Hg, relaxed, DFT PBE" total_energy_ev_per_atom=-3.32 e_form_mev_per_atom=1125 n_ef_per_ev_cell=3.796 pbc="T T T"
Cr 0.000 0.000 0.000
Hg 2.317 2.317 2.317
Cu 0.000 2.317 0.000
Cu 0.000 0.000 2.317
Cu 2.317 0.000 0.000

---

4
Lattice="0.000 3.138 3.138 3.138 0.000 3.138 3.138 3.138 0.000" Properties=species:S:1:pos:R:3 comment="YCr2Rh, relaxed, DFT PBE" total_energy_ev_per_atom=-7.77 e_form_mev_per_atom=498 n_ef_per_ev_cell=9.992 pbc="T T T"
Y 0.000 0.000 0.000
Cr 1.569 1.569 1.569
Cr 4.706 4.706 4.706
Rh 3.138 3.138 3.138

---

11
Lattice="5.809 1.022 1.475 0.581 7.813 1.294 0.581 -1.532 7.770" Properties=species:S:1:pos:R:3 comment="Dy7Tm2Th2, relaxed, DFT PBE" total_energy_ev_per_atom=-4.91 e_form_mev_per_atom=179 n_ef_per_ev_cell=16.812 pbc="T T T"
Dy 1.385 -0.238 4.903
Dy 5.587 2.628 9.039
Dy 5.587 7.541 5.635
Dy 1.385 4.675 1.499
Dy 0.000 0.000 0.000
Dy 4.276 5.409 7.805
Dy 2.696 1.894 2.733
Tm 3.486 1.018 7.094
Tm 3.486 6.284 3.445
Th 5.166 3.460 4.994
Th 1.806 3.842 5.545

---

4
Lattice="3.050 -1.754 3.058 -0.319 -4.462 1.311 3.204 -3.078 -1.409" Properties=species:S:1:pos:R:3 comment="LaHfFe2, relaxed, DFT PBE" total_energy_ev_per_atom=-7.72 e_form_mev_per_atom=235 n_ef_per_ev_cell=3.831 pbc="T T T"
Hf 2.967 -4.647 1.480
Fe 1.484 -2.323 0.740
Fe 4.451 -6.970 2.220
La 0.000 0.000 0.000

---

4
Lattice="5.194 0.000 0.000 2.597 4.498 0.000 2.597 1.499 4.241" Properties=species:S:1:pos:R:3 comment="SmPuAlAu, relaxed, DFT PBE" total_energy_ev_per_atom=-6.84 e_form_mev_per_atom=-318 n_ef_per_ev_cell=10.507 pbc="T T T"
Au 2.597 1.499 1.060
Al 7.791 4.498 3.181
Sm 0.000 0.000 0.000
Pu 5.194 2.999 2.121

---

20
Lattice="-0.546 3.757 -6.007 -4.292 -5.652 -0.343 -1.876 4.067 5.517" Properties=species:S:1:pos:R:3 comment="AcPa4Mn3N12, relaxed, DFT PBE" total_energy_ev_per_atom=-9.26 e_form_raw_ev_per_atom=-0.782 n_ef_per_ev_cell=9.470 pbc="T T T"
Ac 0.000 0.000 0.000
Pa -0.273 1.879 -3.003
Pa -3.357 1.086 -0.416
Pa -2.146 -2.826 -0.172
Pa -0.938 2.034 2.758
Mn -3.084 -0.793 2.587
Mn -2.419 -0.948 -3.175
Mn -1.211 3.912 -0.245
N -4.094 -2.903 -1.315
N -2.621 5.074 0.482
N -4.968 -0.078 -1.492
N -3.675 -0.056 -4.398
N -1.754 3.549 -3.352
N -2.734 -0.805 0.652
N -1.928 0.628 -2.106
N -4.960 -1.378 2.520
N -1.746 2.250 0.659
N -3.040 2.228 3.565
N -3.981 2.977 -1.485
N -4.787 1.544 1.273

---

6
Lattice="4.525 0.000 0.000 -2.263 2.265 0.000 0.000 0.000 10.965" Properties=species:S:1:pos:R:3 comment="NpAgN, relaxed, DFT PBE" total_energy_ev_per_atom=-7.93 e_form_raw_ev_per_atom=0.111 n_ef_per_ev_cell=13.561 pbc="T T T"
Np 0.000 2.018 0.000
Np 0.000 2.008 5.482
N 2.263 2.008 6.220
N 2.263 2.008 4.745
Ag 2.263 2.019 8.677
Ag 2.263 2.019 2.288

---

4
Lattice="2.987 0.000 0.000 0.000 3.519 0.000 0.000 0.000 7.420" Properties=species:S:1:pos:R:3 comment="SiOsSe2, relaxed, DFT PBE" total_energy_ev_per_atom=-5.62 e_form_raw_ev_per_atom=0.285 n_ef_per_ev_cell=1.584 pbc="T T T"
Os 1.493 1.759 5.080
Se 0.000 0.000 6.770
Se 1.493 1.759 2.570
Si 0.000 0.000 4.129

---

20
Lattice="6.351 0.000 -0.019 0.000 6.331 0.000 0.031 0.000 8.971" Properties=species:S:1:pos:R:3 comment="Rb2NaHoF6, relaxed, DFT PBE" total_energy_ev_per_atom=-5.25 e_form_raw_ev_per_atom=-3.349 n_ef_per_ev_cell=0.000 pbc="T T T"
Rb 0.014 6.270 2.246
Rb 3.204 3.225 6.721
Rb 6.368 0.060 6.706
Rb 3.177 3.105 2.230
Na 3.175 0.000 -0.010
Na 0.015 3.165 4.485
Ho 3.191 0.000 4.476
Ho 0.000 3.165 0.000
F 1.658 4.563 0.159
F 4.849 4.933 4.635
F 4.723 1.768 8.793
F 1.533 1.398 4.317
F 1.793 4.673 4.314
F 4.983 4.823 8.790
F 4.588 1.658 4.638
F 1.398 1.507 0.162
F 6.127 3.193 2.143
F 2.967 6.303 6.639
F 0.254 3.138 6.808
F 3.414 0.027 2.313

---

14
Lattice="-2.065 -0.388 7.801 -2.323 -7.037 3.218 4.866 -3.829 5.281" Properties=species:S:1:pos:R:3 comment="PmNdHo4S8, relaxed, DFT PBE" total_energy_ev_per_atom=-6.27 e_form_raw_ev_per_atom=-1.922 n_ef_per_ev_cell=8.174 pbc="T T T"
Pm -4.377 -7.428 11.022
Nd 2.636 -6.140 8.759
Ho -2.150 -5.116 7.543
Ho -0.804 -5.831 12.048
Ho -0.932 -9.138 9.768
Ho -1.959 -9.332 13.648
S 1.231 -8.382 8.276
S 1.369 -4.820 10.731
S 2.476 -4.612 6.551
S 0.355 -2.864 4.135
S -0.797 -2.945 8.009
S -0.931 -6.392 5.634
S -2.001 -6.593 9.678
S 0.209 -8.409 12.187

---

18
Lattice="-6.666 2.445 3.514 -1.474 0.290 7.778 -0.959 6.487 4.445" Properties=species:S:1:pos:R:3 comment="Tl2Cu3PtF12, relaxed, DFT PBE" total_energy_ev_per_atom=-4.12 e_form_raw_ev_per_atom=-1.587 n_ef_per_ev_cell=1.181 pbc="T T T"
Tl -5.526 5.601 9.558
Tl -3.572 3.621 6.179
Cu -3.333 1.222 1.757
Cu -0.737 0.145 3.889
Cu -0.479 3.244 2.222
Pt 0.000 0.000 0.000
F -3.516 6.857 7.745
F -7.781 4.611 11.804
F -4.392 7.012 12.356
F -6.924 4.443 7.190
F -7.475 8.291 9.824
F -3.824 3.157 9.736
F -5.582 2.365 7.992
F -1.318 4.611 3.934
F -4.706 2.210 3.381
F -2.175 4.779 8.548
F -1.624 0.931 5.913
F -5.275 6.065 6.002

---

3
Lattice="-2.650 1.750 -1.873 -1.429 -4.533 -2.212 -2.189 1.518 4.515" Properties=species:S:1:pos:R:3 comment="YErTl, relaxed, DFT PBE" total_energy_ev_per_atom=-4.61 e_form_mev_per_atom=-146 n_ef_per_ev_cell=3.008 pbc="T T T"
Y -2.908 0.143 1.586
Tl -3.631 -1.229 -1.347
Er -2.378 1.570 -1.681

---

8
Lattice="4.448 0.000 0.000 0.000 8.111 -0.299 0.000 2.731 7.605" Properties=species:S:1:pos:R:3 comment="NaThIn2Te4, relaxed, DFT PBE" total_energy_ev_per_atom=-4.06 e_form_raw_ev_per_atom=-0.709 n_ef_per_ev_cell=2.353 pbc="T T T"
Na 2.224 4.056 -0.150
Th 0.000 5.421 3.653
In 0.000 2.731 7.605
In 2.224 1.365 3.802
Te 0.000 8.085 5.289
Te 4.448 2.757 2.016
Te 2.224 6.704 1.826
Te 2.224 4.138 5.479

---

5
Lattice="-2.191 0.940 -2.705 -2.118 -4.619 0.112 -3.939 4.778 7.254" Properties=species:S:1:pos:R:3 comment="LaTb4, relaxed, DFT PBE" total_energy_ev_per_atom=-4.67 e_form_mev_per_atom=24 n_ef_per_ev_cell=7.691 pbc="T T T"
La 0.000 0.000 0.000
Tb -3.410 -1.234 -0.070
Tb -2.444 1.178 2.389
Tb -5.805 -0.079 2.272
Tb -4.839 2.334 4.731

---

12
Lattice="-0.571 -1.742 5.887 -5.192 -2.823 -1.339 6.523 -3.736 -3.701" Properties=species:S:1:pos:R:3 comment="Tl2PdRhS2, relaxed, DFT PBE" total_energy_ev_per_atom=-4.43 e_form_raw_ev_per_atom=-0.170 n_ef_per_ev_cell=7.209 pbc="T T T"
Tl 1.094 -2.502 1.035
Tl -0.334 -5.799 -0.189
Tl 2.538 -3.546 -2.362
Tl -1.778 -4.755 3.208
Pd -4.180 -2.989 1.939
Pd -1.584 -1.577 2.609
Rh -3.894 -2.118 -1.005
Rh -1.298 -0.706 -0.335
S 0.141 -2.298 4.298
S -2.148 -2.773 0.464
S 2.908 -5.528 0.382
S 0.619 -6.003 -3.452

---

4
Lattice="-3.343 3.711 1.375 -4.861 -1.242 1.290 -1.553 0.392 4.927" Properties=species:S:1:pos:R:3 comment="LiNdMgTl, relaxed, DFT PBE" total_energy_ev_per_atom=-2.90 e_form_mev_per_atom=-236 n_ef_per_ev_cell=2.600 pbc="T T T"
Tl -4.879 1.431 3.796
Nd -7.319 2.146 5.693
Mg -2.440 0.715 1.898
Li 0.000 0.000 0.000

---

10
Lattice="-4.568 -0.244 -4.750 -4.548 -1.957 4.475 2.960 7.571 1.342" Properties=species:S:1:pos:R:3 comment="LiNd2Bi2, relaxed, DFT PBE" total_energy_ev_per_atom=-4.59 e_form_mev_per_atom=-747 n_ef_per_ev_cell=5.082 pbc="T T T"
Li -5.700 -1.161 -1.325
Li -3.416 -1.039 1.050
Nd -4.689 3.949 -0.271
Nd -1.467 1.421 1.338
Nd -6.282 0.211 1.453
Nd 0.125 5.160 -0.386
Bi -2.316 4.484 1.997
Bi -3.841 0.886 -0.929
Bi -3.741 0.069 3.594
Bi -2.416 5.301 -2.527

---

4
Lattice="-2.236 -1.078 -2.147 2.350 -1.440 -1.724 -1.186 -9.041 5.774" Properties=species:S:1:pos:R:3 comment="TaHgBr2, relaxed, DFT PBE" total_energy_ev_per_atom=-4.00 e_form_raw_ev_per_atom=-0.129 n_ef_per_ev_cell=2.146 pbc="T T T"
Hg -0.827 -3.159 -0.061
Br 0.641 -9.535 4.119
Br 1.104 -6.187 1.956
Ta -0.245 -8.400 1.964

---

12
Lattice="5.105 0.000 0.000 0.000 4.967 0.000 -2.552 -2.484 13.528" Properties=species:S:1:pos:R:3 comment="In7Ga2SnHg2, relaxed, DFT PBE" total_energy_ev_per_atom=-2.40 e_form_mev_per_atom=84 n_ef_per_ev_cell=3.355 pbc="T T T"
In 0.000 2.482 11.523
In 2.552 2.473 6.877
In 0.000 2.500 2.326
In 2.552 -0.001 2.005
In 0.000 -0.011 6.651
In 2.552 0.017 11.202
In 2.552 2.486 0.000
Ga 0.000 -0.007 9.803
Ga 2.552 2.477 3.726
Sn 0.000 0.019 0.000
Hg 0.000 2.475 8.455
Hg 2.552 -0.009 5.073